Arrangement A

## Mg2CrMo (GGA-PBE)

Data for a relaxed Mg2CrMo crystal.

Its crystal system is orthorhombic. The mass density is 5.08 g/cm3.

The structure belongs to space group Cmmm (No. 65); the cell edges are 3.4071, 4.0921 and 9.2137 Å and the angles 90.00°, 90.00° and 90.00°. The inequivalent atoms are Mg at (0.0000, 0.0000, 0.2409), Cr at (0.0000, 0.5000, 0.0000) and Mo at (0.0000, 0.5000, 0.5000).

=====

Arrangement B

## Mg2CrMo (GGA-PBE)

Data for a relaxed Mg2CrMo crystal.

Its crystal system is cubic. The mass density is 4.90 g/cm3.

The structure belongs to space group F-43m (No. 216); the cell edges are 6.4354, 6.4354 and 6.4354 Å and the angles 90.00°, 90.00° and 90.00°. The inequivalent atoms are Mg at (0.0000, 0.0000, 0.0000), Mg at (0.2500, 0.2500, 0.2500), Cr at (0.0000, 0.0000, 0.5000) and Mo at (0.2500, 0.2500, 0.7500).

=====

Arrangement C

## Mg2CrMo (GGA-PBE)

Data for a relaxed Mg2CrMo crystal.

Its crystal system is cubic. The mass density is 4.97 g/cm3.

The structure belongs to space group Fm-3m (No. 225); the cell edges are 6.4042, 6.4042 and 6.4042 Å and the angles 90.00°, 90.00° and 90.00°. The inequivalent atoms are Mg at (0.2500, 0.2500, 0.2500), Cr at (0.0000, 0.0000, 0.0000) and Mo at (0.0000, 0.0000, 0.5000).

=====

Arrangement D

## Mg2CrMo (GGA-PBE)

Data for a relaxed Mg2CrMo crystal.

Its crystal system is tetragonal. The mass density is 4.77 g/cm3.

The structure belongs to space group I-42d (No. 122); the cell edges are 7.2922, 7.2922 and 5.1492 Å and the angles 90.00°, 90.00° and 90.00°. The inequivalent atoms are Mg at (0.2361, 0.2500, 0.1250), Cr at (0.0000, 0.0000, 0.0000) and Mo at (0.0000, 0.0000, 0.5000).

=====

Result of the stability comparison: arrangement B is the most stable of them.